1.
Density functional theory data (PBE) for a relaxed structure of CePm4Y.

Space-group type ... C2/m, No. 12
ΔE_f ... 0.212 eV/atom
Total magnetic moment ... 1.23 μB/f.u.

abc: 6.101 6.101 11.683
angles: 118.64 118.64 32.66
Sites, in units of the cell vectors:
Ce 0.000 0.000 0.000
Pm 0.158 0.158 0.342
Pm 0.345 0.345 0.155
Pm 0.655 0.655 0.845
Pm 0.842 0.842 0.658
Y 0.500 0.500 0.500



2.
Density functional theory data (PBE) for a relaxed structure of CeHoAg2.

Space-group type ... Fm-3m, No. 225
ΔE_f ... -0.170 eV/atom
Total magnetic moment ... 0.93 μB/f.u.

abc: 5.205 5.205 5.205
angles: 60.00 60.00 60.00
Sites, in units of the cell vectors:
Ce 0.000 0.000 0.000
Ho 0.500 0.500 0.500
Ag 0.250 0.250 0.250
Ag 0.750 0.750 0.750



3.
Density functional theory data (PBE) for a relaxed structure of Cu3OsRh.

Space-group type ... Pm-3m, No. 221
ΔE_f ... 1.692 eV/atom
Total magnetic moment ... 0.00 μB/f.u.

abc: 4.546 4.546 4.546
angles: 90.00 90.00 90.00
Sites, in units of the cell vectors:
Cu 0.000 0.000 0.500
Cu 0.000 0.500 0.000
Cu 0.500 0.000 0.000
Os 0.000 0.000 0.000
Rh 0.500 0.500 0.500



4.
Density functional theory data (PBE) for a relaxed structure of FeIrBr.

Space-group type ... F-43m, No. 216
Total magnetic moment ... 4.08 μB/f.u.
Uncorrected formation energy ... 0.867 eV/atom

abc: 4.321 4.321 4.321
angles: 60.00 60.00 60.00
Sites, in units of the cell vectors:
Fe 0.000 0.000 0.000
Ir 0.250 0.250 0.250
Br 0.500 0.500 0.500



5.
Density functional theory data (PBE) for a relaxed structure of Tb6HoErTm2.

Space-group type ... C2/c, No. 15
ΔE_f ... 0.121 eV/atom
Total magnetic moment ... 0.00 μB/f.u.

abc: 8.715 8.715 9.495
angles: 93.96 93.96 117.79
Sites, in units of the cell vectors:
Tb 0.018 0.568 0.184
Tb 0.121 0.754 0.555
Tb 0.246 0.879 0.945
Tb 0.291 0.505 0.380
Tb 0.432 0.982 0.316
Tb 0.495 0.709 0.120
Tb 0.505 0.291 0.880
Tb 0.568 0.018 0.684
Tb 0.709 0.495 0.620
Tb 0.754 0.121 0.055
Tb 0.879 0.246 0.445
Tb 0.982 0.432 0.816
Ho 0.408 0.592 0.750
Ho 0.592 0.408 0.250
Er 0.024 0.976 0.250
Er 0.976 0.024 0.750
Tm 0.197 0.301 0.044
Tm 0.301 0.197 0.544
Tm 0.699 0.803 0.456
Tm 0.803 0.699 0.956



6.
Density functional theory data (PBE) for a relaxed structure of LiBeSi2.

Space-group type ... Pmmm, No. 47
Total magnetic moment ... 0.00 μB/f.u.
Uncorrected formation energy ... 0.111 eV/atom

abc: 2.670 3.842 5.150
angles: 90.00 90.00 90.00
Sites, in units of the cell vectors:
Li 0.000 0.000 0.000
Be 0.500 0.000 0.500
Si 0.500 0.500 0.253
Si 0.500 0.500 0.747